Material: V6Cr2Ga
Method: DFT, PBE
State: relaxed

Calculated values
* calculated total energy: -8.343 eV per atom
* formation energy from the elements: 183 kJ/mol of formula units
* M_tot: 0.00 μB per formula unit
* space-group type: Immm (71)
* D(E_F): 21.41 states/eV per cell
* ρ: 6.42 g/cm³

a = 6.862 Å, b = 6.862 Å, c = 6.862 Å
α = 113.28°, β = 108.31°, γ = 106.89°
Positions (direct):
V 0.023 0.231 0.792
V 0.248 0.537 0.289
V 0.248 0.959 0.711
V 0.280 0.234 0.514
V 0.280 0.766 0.046
V 0.440 0.231 0.208
V 0.560 0.769 0.792
V 0.720 0.234 0.954
V 0.720 0.766 0.486
V 0.752 0.041 0.289
V 0.752 0.463 0.711
V 0.977 0.769 0.208
Cr 0.000 0.172 0.172
Cr 0.000 0.828 0.828
Cr 0.141 0.500 0.641
Cr 0.859 0.500 0.359
Ga 0.500 0.000 0.500
Ga 0.500 0.500 0.000

***

Material: MnCu2Ag
Method: DFT, PBE
State: relaxed

Calculated values
* calculated total energy: -4.891 eV per atom
* formation energy from the elements: 63 kJ/mol of formula units
* M_tot: 4.06 μB per formula unit
* space-group type: I-4m2 (119)
* D(E_F): 1.64 states/eV per cell
* ρ: 8.49 g/cm³

a = 4.745 Å, b = 4.745 Å, c = 4.745 Å
α = 132.65°, β = 132.65°, γ = 69.21°
Positions (direct):
Mn 0.000 0.000 0.000
Cu 0.250 0.750 0.500
Cu 0.500 0.500 0.000
Ag 0.750 0.250 0.500

***

Material: Tb2Sm3Cd3
Method: DFT, PBE
State: relaxed

Calculated values
* calculated total energy: -3.507 eV per atom
* formation energy from the elements: -183 kJ/mol of formula units
* M_tot: 0.00 μB per formula unit
* space-group type: Immm (71)
* D(E_F): 10.61 states/eV per cell
* ρ: 7.96 g/cm³

a = 11.686 Å, b = 11.686 Å, c = 11.686 Å
α = 161.40°, β = 153.02°, γ = 32.97°
Positions (direct):
Tb 0.234 0.234 0.000
Tb 0.766 0.766 0.000
Sm 0.000 0.000 0.000
Sm 0.377 0.877 0.500
Sm 0.623 0.123 0.500
Cd 0.119 0.619 0.500
Cd 0.500 0.500 0.000
Cd 0.881 0.381 0.500